VASP calculation (GGA-PBE) on an optimized crystal structure of Ag3SCl2.

Cell: 7.4279 7.1659 6.9965 Å, 110.08 122.06 90.00°
Last column: nearest neighbours and their distance in Å.
Sites, in units of the cell vectors:
Ag (0.3316, 0.2500, 0.0000)  1 S 2.44, 2 Cl 2.64
Ag (0.6684, 0.7500, 0.0000)  1 S 2.44, 2 Cl 2.64
Ag (0.2020, 0.1096, 0.3287)  2 S 2.54, 2 Cl 2.61-2.62
Ag (0.8733, 0.3904, 0.6713)  2 S 2.54, 2 Cl 2.61-2.62
Ag (0.1267, 0.6096, 0.3287)  2 S 2.54, 2 Cl 2.61-2.62
Ag (0.7980, 0.8904, 0.6713)  2 S 2.54, 2 Cl 2.61-2.62
S (0.9975, 0.7500, 0.0000)  5 Ag 2.44-2.54
S (0.0025, 0.2500, 0.0000)  5 Ag 2.44-2.54
Cl (0.7016, 0.5302, 0.3281)  3 Ag 2.61-2.64
Cl (0.6265, 0.0302, 0.3281)  3 Ag 2.61-2.64
Cl (0.3735, 0.9698, 0.6719)  3 Ag 2.61-2.64
Cl (0.2984, 0.4698, 0.6719)  3 Ag 2.61-2.64

Values from the calculation:
As for the density of states at the Fermi level: 0.452 states/eV per atom. For the energy above the most stable polymorph in this dataset, the calculation gives 0 meV per atom. Its total energy is -2.970 eV/atom. As for the calculated volume: 288.5 Å³/cell.

VASP calculation (GGA-PBE) on an optimized crystal structure of MnIrW.

Cell: 4.7722 4.7722 4.7722 Å, 146.20 133.70 58.54°
Last column: nearest neighbours and their distance in Å.
Sites, in units of the cell vectors:
Ir (0.9984, 0.9984, 0.0000)  5 Mn 2.70-2.80, 5 W 2.72-2.76, 2 Ir 2.77
Mn (0.3349, 0.3349, 0.0000)  5 Ir 2.70-2.80, 5 W 2.72-2.76, 2 Mn 2.77
W (0.6667, 0.6667, 0.0000)  5 Mn 2.72-2.76, 5 Ir 2.72-2.76, 2 W 2.77

Values from the calculation:
As for the density of states at the Fermi level: 0.896 states/eV per atom. The calculation puts the formation energy at -7.5 kJ per mole of atoms. For the energy above the most stable polymorph in this dataset, the calculation gives 0 meV per atom. Its total energy is -10.405 eV/atom. As for the calculated volume: 43.3 Å³/cell.

VASP calculation (GGA-PBE) on an optimized crystal structure of MoPAu.

Cell: 4.2866 4.2866 4.2866 Å, 60.00 60.00 60.00°
Last column: nearest neighbours and their distance in Å.
Sites, in units of the cell vectors:
Mo (0.2500, 0.2500, 0.2500)  4 Au 2.62, 4 P 2.62
P (0.0000, 0.0000, 0.0000)  4 Mo 2.62
Au (0.5000, 0.5000, 0.5000)  4 Mo 2.62

Values from the calculation:
As for the density of states at the Fermi level: 0.520 states/eV per atom. The calculation puts the formation energy at 35.9 kJ per mole of atoms. For the energy above the most stable polymorph in this dataset, the calculation gives 344 meV per atom. Its total energy is -6.134 eV/atom. As for the calculated volume: 55.7 Å³/cell.

VASP calculation (GGA-PBE) on an optimized crystal structure of Ac3TePbN.

Cell: 4.4714 10.3086 10.1222 Å, 100.38 90.00 90.00°
Last column: nearest neighbours and their distance in Å.
Sites, in units of the cell vectors:
Ac (0.7500, 0.9030, 0.1621)  1 N 2.36
Ac (0.2500, 0.0970, 0.8379)  1 N 2.36
Ac (0.2500, 0.8512, 0.4900)  3 N 2.44-2.57
Ac (0.7500, 0.1488, 0.5100)  3 N 2.44-2.57
Ac (0.7500, 0.4017, 0.1721)  3 Te 3.32-3.37, 2 Pb 3.34
Ac (0.2500, 0.5983, 0.8279)  3 Te 3.32-3.37, 2 Pb 3.34
Te (0.2500, 0.6445, 0.1614)  6 Ac 3.32-3.61
Te (0.7500, 0.3555, 0.8386)  6 Ac 3.32-3.61
Pb (0.2500, 0.1704, 0.2113)  5 Ac 3.34-3.72
Pb (0.7500, 0.8296, 0.7887)  5 Ac 3.34-3.72
N (0.2500, 0.0807, 0.6028)  4 Ac 2.36-2.57
N (0.7500, 0.9193, 0.3972)  4 Ac 2.36-2.57

Values from the calculation:
As for the density of states at the Fermi level: 0.243 states/eV per atom. Its total energy is -5.624 eV/atom. As for the calculated volume: 458.9 Å³/cell.